DFT (PBE) results for a relaxed structure of Sr3ScU3As8.

Output
Symmetry: C2/m
Energy of formation in eV per atom: -0.88
Size of the total moment in μB/f.u.: 3.0

Geometry as CIF:
```
data_Sr3ScU3As8
_cell_length_a 8.322
_cell_length_b 8.324
_cell_length_c 8.612
_cell_angle_alpha 118.91
_cell_angle_beta 90.00
_cell_angle_gamma 119.99
_space_group_name_H-M_alt 'P 1'
_space_group_IT_number 1
loop_
_space_group_symop_operation_xyz
'x,y,z'
loop_
_atom_site_label
_atom_site_type_symbol
_atom_site_fract_x
_atom_site_fract_y
_atom_site_fract_z
Sr1 Sr 0.000 0.000 0.000
Sr2 Sr 0.000 0.500 0.000
Sr3 Sr 0.500 0.500 0.000
Sc1 Sc 0.000 0.000 0.500
U1 U 0.500 0.000 0.500
U2 U 0.500 0.500 0.500
U3 U 0.000 0.500 0.500
As1 As 0.260 0.521 0.282
As2 As 0.740 0.479 0.718
As3 As 0.763 0.526 0.294
As4 As 0.237 0.474 0.706
As5 As 0.764 0.031 0.293
As6 As 0.236 0.969 0.707
As7 As 0.267 0.031 0.293
As8 As 0.733 0.969 0.707
```

=====

DFT (PBE) results for a relaxed structure of FeCoMo2.

Output
Polymorph energy (0 for the lowest one) in eV/atom: 0.138
Symmetry: Fm-3m
Energy of formation in eV per atom: 0.22
Size of the total moment in μB/f.u.: 3.8

Geometry as CIF:
```
data_FeCoMo2
_cell_length_a 4.253
_cell_length_b 4.253
_cell_length_c 4.253
_cell_angle_alpha 60.00
_cell_angle_beta 60.00
_cell_angle_gamma 60.00
_space_group_name_H-M_alt 'P 1'
_space_group_IT_number 1
loop_
_space_group_symop_operation_xyz
'x,y,z'
loop_
_atom_site_label
_atom_site_type_symbol
_atom_site_fract_x
_atom_site_fract_y
_atom_site_fract_z
Mo1 Mo 0.250 0.250 0.250
Mo2 Mo 0.750 0.750 0.750
Co1 Co 0.500 0.500 0.500
Fe1 Fe 0.000 0.000 0.000
```

=====

DFT (PBE) results for a relaxed structure of CaNd5Tm2.

Output
Symmetry: Imma
Energy of formation in eV per atom: 0.24
Size of the total moment in μB/f.u.: 0.0

Geometry as CIF:
```
data_CaNd5Tm2
_cell_length_a 10.456
_cell_length_b 10.456
_cell_length_c 11.662
_cell_angle_alpha 56.10
_cell_angle_beta 56.10
_cell_angle_gamma 102.25
_space_group_name_H-M_alt 'P 1'
_space_group_IT_number 1
loop_
_space_group_symop_operation_xyz
'x,y,z'
loop_
_atom_site_label
_atom_site_type_symbol
_atom_site_fract_x
_atom_site_fract_y
_atom_site_fract_z
Ca1 Ca 0.905 0.095 0.250
Ca2 Ca 0.095 0.905 0.750
Nd1 Nd 0.552 0.448 0.750
Nd2 Nd 0.448 0.552 0.250
Nd3 Nd 0.305 0.695 0.920
Nd4 Nd 0.106 0.894 0.064
Nd5 Nd 0.695 0.305 0.420
Nd6 Nd 0.106 0.894 0.436
Nd7 Nd 0.894 0.106 0.564
Nd8 Nd 0.894 0.106 0.936
Nd9 Nd 0.305 0.695 0.580
Nd10 Nd 0.695 0.305 0.080
Tm1 Tm 0.500 0.000 0.000
Tm2 Tm 0.500 0.500 0.000
Tm3 Tm 0.500 0.500 0.500
Tm4 Tm 0.000 0.500 0.500
```

=====

DFT (PBE) results for a relaxed structure of Nd4InHg2Au.

Output
Symmetry: R-3m
Energy of formation in eV per atom: -0.54
Size of the total moment in μB/f.u.: 0.6

Geometry as CIF:
```
data_Nd4InHg2Au
_cell_length_a 5.402
_cell_length_b 5.402
_cell_length_c 9.338
_cell_angle_alpha 73.19
_cell_angle_beta 73.19
_cell_angle_gamma 60.00
_space_group_name_H-M_alt 'P 1'
_space_group_IT_number 1
loop_
_space_group_symop_operation_xyz
'x,y,z'
loop_
_atom_site_label
_atom_site_type_symbol
_atom_site_fract_x
_atom_site_fract_y
_atom_site_fract_z
Nd1 Nd 0.381 0.381 0.857
Nd2 Nd 0.870 0.870 0.389
Nd3 Nd 0.130 0.130 0.611
Nd4 Nd 0.619 0.619 0.143
In1 In 0.000 0.000 0.000
Hg1 Hg 0.743 0.743 0.770
Hg2 Hg 0.257 0.257 0.230
Au1 Au 0.500 0.500 0.500
```

=====

> Among the records above, which one has the highest size of the total moment?

FeCoMo2

=====

> Which value of energy of formation does entry 1 give?

-0.88 eV per atom

=====

> What is the size of the total moment in the third record?

0.0 μB/f.u.

=====

> Which value of energy of formation does entry 4 give?

-0.54 eV per atom